{"formula": "HoTmTaN3", "functional": "PBE-GGA", "state": "optimized geometry", "e_form_raw_ev_per_atom": -1.181, "spacegroup": "P2_1/m", "lattice": [[6.3461, 0.0000, 0.0000], [0.0000, 3.2261, 0.0000], [-0.5281, 0.0000, 9.3353]], "species": ["Ho", "Ho", "Tm", "Tm", "Ta", "Ta", "N", "N", "N", "N", "N", "N"], "fractional_positions": [[0.2012, 0.2500, 0.2438], [0.7988, 0.7500, 0.7562], [0.3326, 0.7500, 0.8898], [0.6674, 0.2500, 0.1102], [0.1457, 0.2500, 0.5857], [0.8543, 0.7500, 0.4143], [0.1012, 0.2500, 0.7976], [0.1955, 0.7500, 0.4472], [0.3988, 0.7500, 0.1289], [0.6012, 0.2500, 0.8711], [0.8045, 0.2500, 0.5528], [0.8988, 0.7500, 0.2024]]}